# 1
{
  "formula": "MgHgBr4",
  "functional": "PBE-GGA",
  "state": "relaxed",
  "lattice_angstrom": [[0.000, 4.518, 4.518], [4.518, 0.000, 4.518], [4.518, 4.518, 0.000]],
  "species": ["Mg", "Hg", "Br", "Br", "Br", "Br"],
  "fractional_positions": [[0.000, 0.000, 0.000], [0.250, 0.250, 0.250], [0.121, 0.626, 0.626], [0.626, 0.121, 0.626], [0.626, 0.626, 0.121], [0.626, 0.626, 0.626]],
  "total_magnetization_mub_per_fu": 1.10,
  "space_group": "F-43m",
  "formation_energy_uncorrected_mev_per_atom": 257,
  "e_above_lowest_polymorph_kj_per_mol_atoms": 115.0,
  "dft_energy_ev_per_atom": -1.17,
  "crystal_system": "cubic"
}

---

# 2
{
  "formula": "Ca3Cd4Ag2",
  "functional": "PBE-GGA",
  "state": "relaxed",
  "lattice_angstrom": [[5.652, -2.438, 0.000], [5.652, 2.438, 0.000], [-4.363, 0.000, 8.323]],
  "species": ["Ca", "Ca", "Ca", "Cd", "Cd", "Cd", "Cd", "Ag", "Ag"],
  "fractional_positions": [[0.000, 0.000, 0.000], [0.316, 0.316, 0.362], [0.684, 0.684, 0.638], [0.019, 0.019, 0.358], [0.281, 0.281, 0.940], [0.719, 0.719, 0.060], [0.981, 0.981, 0.642], [0.422, 0.422, 0.751], [0.578, 0.578, 0.249]],
  "ef_mev_per_atom": -312,
  "total_magnetization_mub_per_fu": 0.00,
  "space_group": "C2/m",
  "e_above_lowest_polymorph_kj_per_mol_atoms": 0.0,
  "dft_energy_ev_per_atom": -2.02,
  "crystal_system": "monoclinic"
}

---

# 3
{
  "formula": "Pm8Ge3Sb2",
  "functional": "PBE-GGA",
  "state": "relaxed",
  "lattice_angstrom": [[7.888, -4.154, 0.000], [7.888, 4.154, 0.000], [-2.190, 0.000, 6.970]],
  "species": ["Pm", "Pm", "Pm", "Pm", "Pm", "Pm", "Pm", "Pm", "Ge", "Ge", "Ge", "Sb", "Sb"],
  "fractional_positions": [[0.097, 0.097, 0.362], [0.142, 0.641, 0.100], [0.359, 0.858, 0.900], [0.392, 0.392, 0.591], [0.608, 0.608, 0.409], [0.641, 0.142, 0.100], [0.858, 0.359, 0.900], [0.903, 0.903, 0.638], [0.244, 0.756, 0.500], [0.500, 0.500, 0.000], [0.756, 0.244, 0.500], [0.250, 0.250, 0.166], [0.750, 0.750, 0.834]],
  "total_magnetization_mub_per_fu": 0.00,
  "space_group": "C2/m",
  "formation_energy_uncorrected_mev_per_atom": -605,
  "dft_energy_ev_per_atom": -5.23,
  "crystal_system": "monoclinic"
}

---

# 4
{
  "formula": "SmYEr",
  "functional": "PBE-GGA",
  "state": "relaxed",
  "lattice_angstrom": [[-1.783, 1.783, 7.587], [1.783, -1.783, 7.587], [1.783, 1.783, -7.587]],
  "species": ["Sm", "Y", "Er"],
  "fractional_positions": [[0.000, 0.000, 0.000], [0.669, 0.669, 0.000], [0.334, 0.334, 0.000]],
  "ef_mev_per_atom": 23,
  "total_magnetization_mub_per_fu": 0.00,
  "space_group": "I4mm",
  "e_above_lowest_polymorph_kj_per_mol_atoms": 1.5,
  "dft_energy_ev_per_atom": -5.23,
  "crystal_system": "tetragonal"
}

---

# 5
{
  "formula": "KZn2Tc",
  "functional": "PBE-GGA",
  "state": "relaxed",
  "lattice_angstrom": [[2.677, 0.000, 0.000], [0.000, 4.336, 0.000], [0.000, 0.000, 7.889]],
  "species": ["K", "Zn", "Zn", "Tc"],
  "fractional_positions": [[0.000, 0.000, 0.000], [0.000, 0.000, 0.426], [0.500, 0.500, 0.663], [0.500, 0.500, 0.344]],
  "ef_mev_per_atom": 545,
  "total_magnetization_mub_per_fu": 0.00,
  "space_group": "Pmm2",
  "e_above_lowest_polymorph_kj_per_mol_atoms": 15.2,
  "dft_energy_ev_per_atom": -2.96,
  "crystal_system": "orthorhombic"
}

---

# 6
{
  "formula": "Li2TaOs",
  "functional": "PBE-GGA",
  "state": "relaxed",
  "lattice_angstrom": [[1.457, -2.191, 0.000], [1.457, 2.191, 0.000], [0.000, 0.000, 9.771]],
  "species": ["Li", "Li", "Ta", "Os"],
  "fractional_positions": [[0.000, 0.000, 0.228], [0.000, 0.000, 0.772], [0.500, 0.500, 0.500], [0.500, 0.500, 0.000]],
  "ef_mev_per_atom": 323,
  "total_magnetization_mub_per_fu": 0.00,
  "space_group": "Cmmm",
  "e_above_lowest_polymorph_kj_per_mol_atoms": 18.6,
  "dft_energy_ev_per_atom": -6.40,
  "crystal_system": "orthorhombic"
}

---

# 7
{
  "formula": "BaCa14Ac",
  "functional": "PBE-GGA",
  "state": "relaxed",
  "lattice_angstrom": [[12.886, 0.000, 0.000], [0.000, 3.932, 6.827], [0.000, -3.932, 6.827]],
  "species": ["Ba", "Ca", "Ca", "Ca", "Ca", "Ca", "Ca", "Ca", "Ca", "Ca", "Ca", "Ca", "Ca", "Ca", "Ca", "Ac"],
  "fractional_positions": [[0.000, 0.000, 0.000], [0.000, 0.001, 0.500], [0.000, 0.500, 0.001], [0.249, 0.667, 0.667], [0.253, 0.168, 0.168], [0.255, 0.168, 0.662], [0.255, 0.662, 0.168], [0.500, 0.332, 0.332], [0.500, 0.334, 0.833], [0.500, 0.832, 0.832], [0.500, 0.833, 0.334], [0.745, 0.168, 0.662], [0.745, 0.662, 0.168], [0.747, 0.168, 0.168], [0.751, 0.667, 0.667], [0.000, 0.500, 0.500]],
  "ef_mev_per_atom": 25,
  "total_magnetization_mub_per_fu": 0.00,
  "space_group": "Amm2",
  "dft_energy_ev_per_atom": -2.10,
  "crystal_system": "orthorhombic"
}

---

# 8
{
  "formula": "TaSbPbO6",
  "functional": "PBE-GGA",
  "state": "relaxed",
  "lattice_angstrom": [[5.408, 0.000, 0.000], [-2.704, 4.683, 0.000], [0.000, 0.000, 10.795]],
  "species": ["Ta", "Ta", "Sb", "Sb", "Pb", "Pb", "O", "O", "O", "O", "O", "O", "O", "O", "O", "O", "O", "O"],
  "fractional_positions": [[0.333, 0.667, 0.250], [0.667, 0.333, 0.750], [0.333, 0.667, 0.750], [0.667, 0.333, 0.250], [0.000, 0.000, 0.000], [0.000, 0.000, 0.500], [0.001, 0.384, 0.147], [0.001, 0.617, 0.353], [0.383, 0.384, 0.353], [0.383, 0.999, 0.147], [0.384, 0.001, 0.647], [0.384, 0.383, 0.853], [0.616, 0.617, 0.147], [0.616, 0.999, 0.353], [0.617, 0.001, 0.853], [0.617, 0.616, 0.647], [0.999, 0.383, 0.647], [0.999, 0.616, 0.853]],
  "total_magnetization_mub_per_fu": 0.00,
  "space_group": "P-31c",
  "formation_energy_uncorrected_mev_per_atom": -1948,
  "dft_energy_ev_per_atom": -7.44,
  "crystal_system": "trigonal"
}